1.
A plane-wave DFT calculation with PBE-GGA was carried out for crystalline Nd4CuAg3 at its relaxed geometry.

It has space group Pmm2 (No. 25), with a = 3.949 Å, b = 4.846 Å, c = 11.110 Å, α = 90.00°, β = 90.00° and γ = 90.00°. Symmetry generates all atoms from Nd at (0.000, 0.000, 0.000), Nd at (0.000, 0.500, 0.274), Nd at (0.500, 0.000, 0.481), Nd at (0.500, 0.500, 0.778), Cu at (0.500, 0.000, 0.206), Ag at (0.000, 0.000, 0.710), Ag at (0.000, 0.500, 0.557) and Ag at (0.500, 0.500, 0.063).

The total magnetization comes out at 0.0 μB per cell. The formation energy comes out at -0.217 eV per atom. As for the total energy: -4.18 eV/atom. The value obtained for the energy above the most stable polymorph in this dataset is 10 meV/atom.

2.
A plane-wave DFT calculation with PBE-GGA was carried out for crystalline NbPO at its relaxed geometry.

It has space group C2/m (No. 12), with a = 12.255 Å, b = 3.210 Å, c = 7.895 Å, α = 90.00°, β = 124.83° and γ = 90.00°. Symmetry generates all atoms from Nb at (0.247, 0.000, 0.309), P at (0.087, 0.000, 0.387) and O at (0.209, 0.500, 0.143).

The formation energy from raw total energies is -1.088 eV per atom. The total magnetization comes out at 0.0 μB per cell. As for the total energy: -7.90 eV/atom.